(1)
Density functional theory data (PBEsol) for a relaxed structure of CrFe2Tc.

* ΔE_f: 0.4 eV/f.u.

Cell: 2.5347 4.3545 4.3545 Å, 109.43 90.00 90.00°
Element x y z (fractional)
Fe  0.0000  0.0000  0.5000
Cr  0.5000  0.5000  0.5000
Fe  0.0000  0.5000  0.0000
Tc  0.5000  0.0000  0.0000

(2)
Density functional theory data (PBEsol) for a relaxed structure of TaMn2Cl.

* uncorrected formation energy: 0.692 eV/f.u.

Cell: 3.0802 3.0802 7.8452 Å, 78.68 78.68 60.00°
Element x y z (fractional)
Ta  0.5000  0.5000  0.5000
Mn  0.7499  0.7499  0.7503
Cl  0.0000  0.0000  0.0000
Mn  0.2501  0.2501  0.2497